Record 1
# K2Zr3PbO8

A relaxed K2Zr3PbO8 crystal (GGA-PBE, Alexandria via LeMat-Bulk).

The structure in POSCAR format:
```
K2Zr3PbO8
1.0
3.294 1.902 6.518
-3.294 1.902 6.518
0.000 -3.803 6.518
K Zr Pb O
2 3 1 8
Direct
0.000 0.000 0.000
0.369 0.369 0.369
0.369 0.369 0.877
0.369 0.877 0.369
0.877 0.369 0.369
0.760 0.760 0.760
0.111 0.111 0.552
0.111 0.552 0.111
0.145 0.145 0.145
0.168 0.633 0.633
0.552 0.111 0.111
0.588 0.588 0.588
0.633 0.168 0.633
0.633 0.633 0.168
```

Output
crystal system	trigonal
raw formation energy	-36.73	eV per formula unit
energy	-7.710	eV per atom
space group	No. 160
D(E_F)	0.00	states/eV/f.u.

Record 2
# Nb4BS

A relaxed Nb4BS crystal (GGA-PBE, Alexandria via LeMat-Bulk).

The structure in POSCAR format:
```
Nb4BS
1.0
3.765 -6.546 0.000
3.765 6.546 0.000
-3.460 0.000 3.943
Nb B S
8 2 2
Direct
0.105 0.246 0.146
0.126 0.513 0.806
0.246 0.105 0.646
0.487 0.874 0.694
0.513 0.126 0.306
0.754 0.895 0.354
0.874 0.487 0.194
0.895 0.754 0.854
0.196 0.804 0.250
0.804 0.196 0.750
0.456 0.544 0.750
0.544 0.456 0.250
```

Output
crystal system	monoclinic
raw formation energy	-2.25	eV per formula unit
energy	-8.889	eV per atom
space group	No. 15
D(E_F)	3.86	states/eV/f.u.

Record 3
# ReTePt4

A relaxed ReTePt4 crystal (GGA-PBE, Alexandria via LeMat-Bulk).

The structure in POSCAR format:
```
ReTePt4
1.0
0.000 3.760 3.760
3.760 0.000 3.760
3.760 3.760 0.000
Re Te Pt
1 1 4
Direct
0.000 0.000 0.000
0.750 0.750 0.750
0.374 0.374 0.374
0.374 0.374 0.877
0.374 0.877 0.374
0.877 0.374 0.374
```

Output
crystal system	cubic
raw formation energy	3.35	eV per formula unit
energy	-6.068	eV per atom
space group	No. 216
D(E_F)	5.95	states/eV/f.u.

Which value of energy does entry 1 give? -7.710 eV per atom

raw formation energy of number 1 (K2Zr3PbO8)? -36.73 eV per formula unit

Among the records above, which one has the highest energy? ReTePt4